<one>
# NaNb2P2

An optimized crystal structure of NaNb2P2 (PBE, Alexandria via LeMat-Bulk).

Unit cell a=7.0911 b=7.0911 c=3.2514 alpha=90.00 beta=90.00 gamma=90.00
Closest atoms and distances in Å follow each position.
Space group P4/mbm (No. 127)
Symmetry-distinct sites (fractional):
Na 0.0000 0.0000 0.0000 (multiplicity 2)  4 P 2.73
Nb 0.1466 0.3534 0.5000 (multiplicity 4)  6 P 2.61-2.68
P 0.1413 0.6413 0.0000 (multiplicity 4)  6 Nb 2.61-2.68, 2 Na 2.73, 1 P 2.83

---

<two>
# NaNb2P2

An optimized crystal structure of NaNb2P2 (PBE, Alexandria via LeMat-Bulk).

Unit cell a=4.7193 b=4.7193 c=8.8874 alpha=90.00 beta=90.00 gamma=90.00
Closest atoms and distances in Å follow each position.
Space group I4/mmm (No. 139)
Symmetry-distinct sites (fractional):
Na 0.0000 0.0000 0.0000 (multiplicity 2)  2 Nb 3.15, 8 P 3.24
Nb 0.0000 0.0000 0.3546 (multiplicity 4)  4 P 2.54, 1 Nb 2.58
P 0.0000 0.5000 0.2500 (multiplicity 4)  4 Nb 2.54

---

Short version: <one> is the most stable of them.

---

<one>
# NaNb3Pb

An optimized crystal structure of NaNb3Pb (PBE, Alexandria via LeMat-Bulk).

Unit cell a=4.7466 b=4.7466 c=4.7466 alpha=90.00 beta=90.00 gamma=90.00
Closest atoms and distances in Å follow each position.
Space group Pm-3m (No. 221)
Symmetry-distinct sites (fractional):
Na 0.0000 0.0000 0.0000 (multiplicity 1)  6 Nb 2.37
Nb 0.0000 0.0000 0.5000 (multiplicity 3)  2 Na 2.37
Pb 0.5000 0.5000 0.5000 (multiplicity 1)  12 Nb 3.36

---

<two>
# NaNb3Pb

An optimized crystal structure of NaNb3Pb (PBE, Alexandria via LeMat-Bulk).

Unit cell a=5.2571 b=5.2571 c=5.2571 alpha=90.00 beta=90.00 gamma=90.00
Closest atoms and distances in Å follow each position.
Space group Pm-3m (No. 221)
Symmetry-distinct sites (fractional):
Na 0.0000 0.0000 0.0000 (multiplicity 1)  12 Nb 3.72
Nb 0.0000 0.5000 0.5000 (multiplicity 3)  2 Pb 2.63
Pb 0.5000 0.5000 0.5000 (multiplicity 1)  6 Nb 2.63

---

Short version: <one> is the most stable of them.

---

<one>
# Na3NbPb

An optimized crystal structure of Na3NbPb (PBE, Alexandria via LeMat-Bulk).

Unit cell a=5.7572 b=5.7572 c=5.7572 alpha=90.00 beta=90.00 gamma=90.00
Closest atoms and distances in Å follow each position.
Space group Pm-3m (No. 221)
Symmetry-distinct sites (fractional):
Na 0.0000 0.0000 0.5000 (multiplicity 3)  2 Pb 2.88
Nb 0.5000 0.5000 0.5000 (multiplicity 1)  12 Na 4.07
Pb 0.0000 0.0000 0.0000 (multiplicity 1)  6 Na 2.88

---

<two>
# Na3NbPb

An optimized crystal structure of Na3NbPb (PBE, Alexandria via LeMat-Bulk).

Unit cell a=5.7501 b=5.7501 c=5.7501 alpha=90.00 beta=90.00 gamma=90.00
Closest atoms and distances in Å follow each position.
Space group Pm-3m (No. 221)
Symmetry-distinct sites (fractional):
Na 0.0000 0.0000 0.5000 (multiplicity 3)  2 Nb 2.88
Nb 0.0000 0.0000 0.0000 (multiplicity 1)  6 Na 2.88
Pb 0.5000 0.5000 0.5000 (multiplicity 1)  12 Na 4.07

---

Short version: <one> is the most stable of them.

---

<one>
# NaNb2Pd

An optimized crystal structure of NaNb2Pd (PBE, Alexandria via LeMat-Bulk).

Unit cell a=7.7179 b=7.7179 c=5.3146 alpha=90.00 beta=90.00 gamma=90.00
Closest atoms and distances in Å follow each position.
Space group I-42d (No. 122)
Symmetry-distinct sites (fractional):
Na 0.0000 0.0000 0.0000 (multiplicity 4)  2 Pd 2.66
Nb 0.2131 0.2500 0.6250 (multiplicity 8)  2 Pd 2.62, 2 Nb 2.72
Pd 0.0000 0.0000 0.5000 (multiplicity 4)  4 Nb 2.62, 2 Na 2.66

---

<two>
# NaNb2Pd

An optimized crystal structure of NaNb2Pd (PBE, Alexandria via LeMat-Bulk).

Unit cell a=6.5794 b=6.5794 c=6.5794 alpha=90.00 beta=90.00 gamma=90.00
Closest atoms and distances in Å follow each position.
Space group Fm-3m (No. 225)
Symmetry-distinct sites (fractional):
Na 0.0000 0.0000 0.0000 (multiplicity 4)  8 Nb 2.85
Nb 0.2500 0.2500 0.2500 (multiplicity 8)  4 Na 2.85, 4 Pd 2.85
Pd 0.0000 0.0000 0.5000 (multiplicity 4)  8 Nb 2.85

---

Short version: <two> is the most stable of them.